Record 1
# CeZr7O16 | Alexandria | SCAN | PBEsol geometry
# E_tot   -449.4 eV/f.u.
# SG   P1
# Formation energy from raw total energies   -90.25 eV/f.u.
data_CeZr7O16
_chemical_formula_sum 'Ce1 Zr7 O16'
_space_group_name_H-M_alt 'P 1'
_space_group_IT_number 1
_cell_length_a 6.824
_cell_length_b 7.371
_cell_length_c 7.393
_cell_angle_alpha 90.54
_cell_angle_beta 116.53
_cell_angle_gamma 116.52
loop_
_space_group_symop_operation_xyz
'x,y,z'
loop_
_atom_site_label
_atom_site_type_symbol
_atom_site_fract_x
_atom_site_fract_y
_atom_site_fract_z
Ce1 Ce 0.294 0.548 0.016
Zr1 Zr 0.208 0.980 0.944
Zr2 Zr 0.713 0.950 0.494
Zr3 Zr 0.710 0.439 0.984
Zr4 Zr 0.205 0.488 0.447
Zr5 Zr 0.786 0.512 0.552
Zr6 Zr 0.289 0.054 0.512
Zr7 Zr 0.794 0.013 0.058
O1 O 0.020 0.865 0.608
O2 O 0.146 0.531 0.684
O3 O 0.854 0.984 0.809
O4 O 0.344 0.805 0.469
O5 O 0.352 0.294 0.964
O6 O 0.968 0.636 0.887
O7 O 0.474 0.389 0.634
O8 O 0.489 0.905 0.141
O9 O 0.521 0.099 0.858
O10 O 0.525 0.612 0.378
O11 O 0.008 0.358 0.115
O12 O 0.657 0.198 0.532
O13 O 0.664 0.697 0.021
O14 O 0.160 0.033 0.196
O15 O 0.839 0.477 0.302
O16 O 0.980 0.134 0.395

***

Record 2
# CeZr3O8 | Alexandria | SCAN | PBEsol geometry
# E_tot   -231.5 eV/f.u.
# SG   C2/c
# Formation energy from raw total energies   -44.97 eV/f.u.
data_CeZr3O8
_chemical_formula_sum 'Ce2 Zr6 O16'
_space_group_name_H-M_alt 'P 1'
_space_group_IT_number 1
_cell_length_a 5.217
_cell_length_b 7.318
_cell_length_c 7.318
_cell_angle_alpha 90.34
_cell_angle_beta 90.93
_cell_angle_gamma 90.93
loop_
_space_group_symop_operation_xyz
'x,y,z'
loop_
_atom_site_label
_atom_site_type_symbol
_atom_site_fract_x
_atom_site_fract_y
_atom_site_fract_z
Ce1 Ce 0.250 0.370 0.630
Ce2 Ce 0.750 0.630 0.370
Zr1 Zr 0.252 0.877 0.620
Zr2 Zr 0.748 0.123 0.380
Zr3 Zr 0.248 0.380 0.123
Zr4 Zr 0.752 0.620 0.877
Zr5 Zr 0.250 0.882 0.118
Zr6 Zr 0.750 0.118 0.882
O1 O 0.978 0.356 0.376
O2 O 0.022 0.644 0.624
O3 O 0.522 0.624 0.644
O4 O 0.478 0.376 0.356
O5 O 0.977 0.896 0.356
O6 O 0.023 0.104 0.644
O7 O 0.540 0.131 0.617
O8 O 0.460 0.869 0.383
O9 O 0.960 0.383 0.869
O10 O 0.040 0.617 0.131
O11 O 0.523 0.644 0.104
O12 O 0.477 0.356 0.896
O13 O 0.941 0.865 0.902
O14 O 0.059 0.135 0.098
O15 O 0.559 0.098 0.135
O16 O 0.441 0.902 0.865